PBE RbAlHg2Br4, relaxed; Fermi-level density of states = 0.0 states/eV/f.u.; energy = -20.2 eV per formula unit; space group = P1
1.0
8.649 1.021 -0.892
0.976 7.968 -2.285
-5.218 -5.617 7.145
Al Br Hg Rb
1 4 2 1
Cartesian
4.399 4.051 0.321 Al
4.876 -2.717 3.994 Br
0.500 -2.458 5.743 Br
2.795 5.474 -0.569 Br
3.401 2.325 1.511 Br
6.970 7.498 -1.826 Hg
-0.565 0.577 3.157 Hg
0.153 3.486 0.700 Rb

***

PBE SrMo2W, relaxed; ΔE to the lowest computed polymorph = 0 meV/atom; Fermi-level density of states = 2.3 states/eV/f.u.; E_form = 703 meV/atom; space group = Cmmm
1.0
2.859 0.002 0.000
-0.948 2.697 0.000
0.000 0.000 9.875
Mo Sr W
2 1 1
Cartesian
0.000 0.000 9.511 Mo
0.000 0.000 5.302 Mo
0.955 1.349 2.469 Sr
0.955 1.349 7.406 W